No. 1
VASP calculation (PBE-GGA) on a relaxed ZnCdFeNi crystal.

The value obtained for the formation energy is 0.147 eV per atom. For the magnetization, the calculation gives 3.2 μB/cell. The calculation puts the offset from the most stable computed form at 0 meV/atom. The calculation puts the total energy at -3.862 eV per atom. The volume comes out at 14.18 Å³/atom.

Cell: 4.3123 4.3123 4.3123 Å, 60.00 60.00 60.00°
Fractional coordinates of all 4 atoms:
Fe  0.7500  0.7500  0.7500
Cd  0.2500  0.2500  0.2500
Ni  0.5000  0.5000  0.5000
Zn  0.0000  0.0000  0.0000


No. 2
VASP calculation (PBE-GGA) on a relaxed RbZrP2Se6O crystal.

For the magnetization, the calculation gives 0.0 μB/cell. The calculation puts the total energy at -4.999 eV per atom. The volume comes out at 29.05 Å³/atom.

Cell: 7.0219 7.0219 6.7641 Å, 96.52 96.52 102.99°
Fractional coordinates of all 11 atoms:
Se  0.5652  0.1749  0.7487
Se  0.6659  0.6878  0.7134
Se  0.1421  0.4247  0.8028
Se  0.5753  0.8579  0.1972
Se  0.8251  0.4348  0.2513
Se  0.3122  0.3341  0.2866
Zr  0.5191  0.4809  0.0000
P  0.6894  0.9632  0.9255
P  0.0368  0.3106  0.0745
Rb  0.0903  0.9097  0.5000
O  0.9290  0.0710  0.0000


No. 3
VASP calculation (PBE-GGA) on a relaxed HfInAgS3 crystal.

For the magnetization, the calculation gives 0.0 μB/cell. The calculation puts the offset from the most stable computed form at 0 meV/atom. The calculation puts the total energy at -5.549 eV per atom. The volume comes out at 23.58 Å³/atom.

Cell: 7.9139 7.9139 10.0541 Å, 90.00 90.00 26.70°
Fractional coordinates of all 12 atoms:
In  0.3318  0.3318  0.2500
In  0.6682  0.6682  0.7500
Ag  0.6884  0.6884  0.2500
Ag  0.3116  0.3116  0.7500
Hf  0.0000  0.0000  0.5000
Hf  0.0000  0.0000  0.0000
S  0.0403  0.0403  0.7500
S  0.6128  0.6128  0.0306
S  0.3872  0.3872  0.5306
S  0.6128  0.6128  0.4694
S  0.3872  0.3872  0.9694
S  0.9597  0.9597  0.2500